8
Lattice="5.325 0.000 0.000 0.000 5.325 0.000 2.662 2.662 4.759" Properties=species:S:1:pos:R:3 comment="PBE-GGA GaSi2B, optimized geometry" e_form_raw_ev_per_fu=1.2 polymorph_energy_mev_per_atom=0 pbc="T T T"
Ga 5.325 2.662 2.379
Ga 0.000 0.000 0.000
Si 3.994 4.384 3.569
Si 1.721 3.994 1.190
Si 6.656 6.266 3.569
Si 3.604 1.331 1.190
B 2.662 2.662 0.000
B 2.662 5.325 2.379

18
Lattice="6.486 0.000 2.960 2.411 7.502 3.303 0.019 0.019 8.545" Properties=species:S:1:pos:R:3 comment="PBE-GGA YZrPt, optimized geometry" polymorph_energy_mev_per_atom=0 formation_energy_mev_per_atom=-843 pbc="T T T"
Y 6.004 3.447 11.915
Y 2.393 4.074 2.655
Y 2.818 1.890 8.239
Y 1.198 0.333 5.276
Y 4.014 5.631 5.618
Y 7.201 7.188 9.295
Zr 3.546 0.956 2.984
Zr 1.266 3.761 5.947
Zr 0.051 0.000 0.023
Zr 4.761 4.718 8.907
Zr 7.008 6.565 12.570
Zr 5.793 2.804 6.647
Pt 4.750 6.268 11.116
Pt 5.503 1.890 9.463
Pt 3.535 2.507 5.192
Pt 6.698 5.632 6.843
Pt 0.968 1.254 2.232
Pt 2.183 5.015 8.156

4
Lattice="-2.576 3.240 1.805 -3.362 1.815 -2.408 -4.292 -0.876 1.097" Properties=species:S:1:pos:R:3 comment="PBE-GGA ScTiRePd, optimized geometry" formation_energy_mev_per_atom=-456 pbc="T T T"
Re 0.000 0.000 0.000
Sc -7.672 3.134 0.370
Pd -5.115 2.090 0.247
Ti -2.557 1.045 0.123

6
Lattice="-3.388 -2.123 1.459 -3.810 -0.541 -3.427 0.878 -4.977 1.006" Properties=species:S:1:pos:R:3 comment="PBE-GGA AlV4W, optimized geometry" polymorph_energy_mev_per_atom=152 formation_energy_mev_per_atom=61 pbc="T T T"
Al -3.160 -3.820 -0.481
V -0.818 -2.598 0.529
V -3.968 -6.495 -0.039
V -2.353 -1.146 -0.923
V -5.502 -5.042 -1.491
W 0.000 0.000 0.000

14
Lattice="4.360 0.000 0.000 2.180 7.888 0.177 2.180 1.960 7.642" Properties=species:S:1:pos:R:3 comment="PBE-GGA Dy3Al9Tc2, optimized geometry" formation_energy_mev_per_atom=-473 pbc="T T T"
Al 2.180 4.924 3.910
Al 2.180 4.985 1.306
Al 2.180 0.667 2.229
Al 2.180 2.402 4.559
Al 6.539 7.446 3.260
Al 6.539 7.525 7.675
Al 6.539 4.863 6.513
Al 6.539 9.181 5.590
Al 2.180 2.323 0.144
Dy 0.000 0.000 0.000
Dy 4.360 2.962 2.352
Dy 4.360 6.886 5.468
Tc 4.360 5.962 2.602
Tc 4.360 3.886 5.217

8
Lattice="3.475 0.000 0.000 -1.738 5.378 0.000 0.000 0.000 7.244" Properties=species:S:1:pos:R:3 comment="PBE-GGA ScGaPt2, optimized geometry" formation_energy_mev_per_atom=-1036 pbc="T T T"
Pt 1.738 1.364 3.277
Pt 1.738 1.364 0.345
Pt 0.000 4.015 3.967
Pt 0.000 4.015 6.899
Ga 1.738 2.755 5.433
Ga 0.000 2.623 1.811
Sc 1.738 5.016 1.811
Sc 0.000 0.363 5.433

13
Lattice="-0.644 2.406 4.935 0.341 -6.809 3.365 10.094 4.357 -0.808" Properties=species:S:1:pos:R:3 comment="PBE-GGA Nd2Dy3Ho8, optimized geometry" formation_energy_mev_per_atom=242 pbc="T T T"
Dy 10.336 -0.497 1.591
Dy 0.099 -1.955 0.966
Dy -0.322 1.203 2.468
Ho 3.487 -3.097 1.966
Ho 7.679 3.402 2.439
Ho 7.797 -2.697 2.333
Ho 1.994 2.651 5.160
Ho 1.965 -0.549 3.621
Ho 6.303 3.051 5.526
Ho 2.112 -3.448 5.053
Ho 7.825 0.504 3.871
Nd 5.172 -1.708 4.605
Nd 4.618 1.662 2.887

5
Lattice="5.811 0.000 0.000 0.000 5.811 0.000 0.000 0.000 5.733" Properties=species:S:1:pos:R:3 comment="PBE-GGA KMgSe2Br, optimized geometry" e_form_raw_ev_per_fu=1.7 polymorph_energy_mev_per_atom=1112 pbc="T T T"
Se 0.000 2.905 0.000
Se 2.905 0.000 0.000
Mg 2.905 2.905 2.867
K 0.000 0.000 0.000
Br 0.000 0.000 2.867

13
Lattice="-0.791 -6.964 -8.922 9.807 5.241 2.253 -1.522 -0.468 7.714" Properties=species:S:1:pos:R:3 comment="PBE-GGA Pm8TmTh4, optimized geometry" formation_energy_mev_per_atom=562 pbc="T T T"
Pm 0.869 -2.396 1.793
Pm 6.194 -2.983 -5.435
Pm 6.625 0.205 -0.748
Pm 1.590 -2.104 -2.029
Pm 6.307 3.469 7.630
Pm 1.186 -5.660 -6.585
Pm 1.299 0.793 6.480
Pm 5.903 -0.087 3.074
Th 4.508 -0.861 -3.334
Th -0.396 -3.482 -4.461
Th 4.903 2.621 1.127
Th 0.000 0.000 0.000
Tm 4.142 2.387 4.983

5
Lattice="4.308 0.000 0.000 0.000 4.308 0.000 0.000 0.000 4.308" Properties=species:S:1:pos:R:3 comment="PBE-GGA CrCo3Bi, optimized geometry" polymorph_energy_mev_per_atom=0 formation_energy_mev_per_atom=991 pbc="T T T"
Cr 0.000 0.000 0.000
Bi 2.154 2.154 2.154
Co 2.154 0.000 0.000
Co 0.000 0.000 2.154
Co 0.000 2.154 0.000

4
Lattice="0.000 3.609 3.609 3.609 0.000 3.609 3.609 3.609 0.000" Properties=species:S:1:pos:R:3 comment="PBE-GGA Ca2TlOs, optimized geometry" polymorph_energy_mev_per_atom=54 formation_energy_mev_per_atom=276 pbc="T T T"
Tl 3.609 3.609 3.609
Os 0.000 0.000 0.000
Ca 5.414 5.414 5.414
Ca 1.805 1.805 1.805

4
Lattice="-1.005 -3.165 3.617 1.454 -4.464 1.439 2.472 0.176 2.684" Properties=species:S:1:pos:R:3 comment="PBE-GGA Li2SiPt, optimized geometry" e_form_raw_ev_per_fu=-2.2 pbc="T T T"
Li 2.472 0.174 2.686
Li 1.461 -3.724 3.869
Si 0.730 -1.863 1.935
Pt 2.191 -5.589 5.805